8
Lattice="-0.3650 2.9957 -2.3898 -3.7963 -0.6098 -0.1846 1.0651 3.3336 7.1166" Properties=species:S:1:pos:R:3 comment="Fe3NiPd4 (GGA-PBE, relaxed)" energy_ev_per_cell=-52.4 n_ef_per_ev_atom=0.77 relative_energy_kj_per_mol_fu=0 m_tot_mub_per_atom=1.4139 space_group="No. 139" pbc="T T T"
Pd -0.7628 3.4009 4.3797
Ni -0.1825 1.4979 -1.1949
Pd -0.2530 1.1256 1.4496
Fe -0.6893 3.7576 1.7152
Fe -1.8982 -0.3049 -0.0923
Pd -2.8432 4.5940 3.0926
Fe -2.4070 1.9620 2.8270
Pd -2.3334 2.3187 0.1625